PrHg4Pd7: optimized geometry, GGA-PBE.

Values from the calculation:
For the calculated volume, the calculation gives 19.89 A^3/atom. The calculation puts the energy relative to the elements at -0.1629 eV per atom.

Cell: 10.709 5.171 10.133 Å, 90.00 121.70 90.00°
Space group C2/m (No. 12)
Inequivalent atoms, fractional coordinates:
Pr: 0.000 0.000 0.000 (multiplicity 2)
Hg: 0.086 0.500 0.323 (multiplicity 4)
Hg: 0.183 0.000 0.767 (multiplicity 4)
Pd: 0.000 0.500 0.000 (multiplicity 2)
Pd: 0.114 0.000 0.457 (multiplicity 4)
Pd: 0.166 0.500 0.629 (multiplicity 4)
Pd: 0.204 0.500 0.919 (multiplicity 4)

***

Pr5HgPd2: optimized geometry, GGA-PBE.

Values from the calculation:
For the calculated volume, the calculation gives 28.65 A^3/atom. The calculation puts the energy relative to the elements at -0.4989 eV per atom.

Cell: 8.224 8.224 13.554 Å, 90.00 90.00 90.00°
Space group I4/mcm (No. 140)
Inequivalent atoms, fractional coordinates:
Pr: 0.000 0.000 0.000 (multiplicity 4)
Pr: 0.160 0.340 0.142 (multiplicity 16)
Hg: 0.000 0.000 0.250 (multiplicity 4)
Pd: 0.129 0.371 0.500 (multiplicity 8)

***

PrHg2Pd9: optimized geometry, GGA-PBE.

Values from the calculation:
For the calculated volume, the calculation gives 18.34 A^3/atom. The calculation puts the energy relative to the elements at -0.2480 eV per atom. As for the distance to the lowest polymorph of the same formula: 0.632 eV per formula unit.

Cell: 5.3934 5.3934 26.2071 Å, 90.00 90.00 120.00°
Space group R-3m (No. 166, hexagonal axes)
Inequivalent atoms, fractional coordinates:
Pr: 0.0000 0.0000 0.0000 (multiplicity 3)
Hg: 0.0000 0.0000 0.1412 (multiplicity 6)
Pd: 0.0000 0.0000 0.3337 (multiplicity 6)
Pd: 0.0000 0.0000 0.5000 (multiplicity 3)
Pd: 0.0044 0.5022 0.9142 (multiplicity 18)

***

Pr2HgPd: optimized geometry, GGA-PBE.

Values from the calculation:
For the calculated volume, the calculation gives 30.13 A^3/atom. The calculation puts the energy relative to the elements at -0.4894 eV per atom. As for the distance to the lowest polymorph of the same formula: 0.382 eV per formula unit.

Cell: 4.2415 4.2415 23.2088 Å, 90.00 90.00 120.00°
Space group R3m (No. 160, hexagonal axes)
Inequivalent atoms, fractional coordinates:
Pr: 0.0000 0.0000 0.0000 (multiplicity 3)
Pr: 0.0000 0.0000 0.1911 (multiplicity 3)
Hg: 0.0000 0.0000 0.7622 (multiplicity 3)
Pd: 0.0000 0.0000 0.5969 (multiplicity 3)

***

Pr2Hg3Pd2: optimized geometry, GGA-PBE.

Values from the calculation:
For the calculated volume, the calculation gives 23.54 A^3/atom. The calculation puts the energy relative to the elements at -0.5762 eV per atom. As for the distance to the lowest polymorph of the same formula: 0.000 eV per formula unit.

Cell: 10.155 4.529 7.593 Å, 90.00 109.33 90.00°
Space group C2/m (No. 12)
Inequivalent atoms, fractional coordinates:
Pr: 0.139 0.000 0.275 (multiplicity 4)
Hg: 0.000 0.500 0.500 (multiplicity 2)
Hg: 0.128 0.500 0.941 (multiplicity 4)
Pd: 0.154 0.000 0.694 (multiplicity 4)

***

PrHg2Pd5: optimized geometry, GGA-PBE.

Values from the calculation:
For the calculated volume, the calculation gives 20.35 A^3/atom. The calculation puts the energy relative to the elements at -0.3812 eV per atom.

Cell: 4.236 5.953 12.916 Å, 90.00 90.00 90.00°
Space group Immm (No. 71)
Inequivalent atoms, fractional coordinates:
Pr: 0.000 0.000 0.000 (multiplicity 2)
Hg: 0.000 0.500 0.218 (multiplicity 4)
Pd: 0.000 0.235 0.392 (multiplicity 8)
Pd: 0.000 0.500 0.000 (multiplicity 2)

***

Pr3Hg2Pd2: optimized geometry, GGA-PBE.

Values from the calculation:
For the calculated volume, the calculation gives 26.08 A^3/atom. The calculation puts the energy relative to the elements at -0.6364 eV per atom.

Cell: 4.105 23.091 3.853 Å, 90.00 90.00 90.00°
Space group Cmmm (No. 65)
Inequivalent atoms, fractional coordinates:
Pr: 0.000 0.000 0.000 (multiplicity 2)
Pr: 0.000 0.168 0.000 (multiplicity 4)
Hg: 0.000 0.418 0.500 (multiplicity 4)
Pd: 0.000 0.289 0.500 (multiplicity 4)

***

Pr2HgPd9: optimized geometry, GGA-PBE.

Values from the calculation:
For the calculated volume, the calculation gives 19.12 A^3/atom. The calculation puts the energy relative to the elements at -0.4404 eV per atom. As for the distance to the lowest polymorph of the same formula: 0.983 eV per formula unit.

Cell: 5.4280 5.4280 26.9694 Å, 90.00 90.00 120.00°
Space group R-3m (No. 166, hexagonal axes)
Inequivalent atoms, fractional coordinates:
Pr: 0.0000 0.0000 0.1340 (multiplicity 6)
Hg: 0.0000 0.0000 0.0000 (multiplicity 3)
Pd: 0.0000 0.0000 0.3331 (multiplicity 6)
Pd: 0.0000 0.0000 0.5000 (multiplicity 3)
Pd: 0.0030 0.5015 0.9155 (multiplicity 18)

***

PrHg3Pd2: optimized geometry, GGA-PBE.

Values from the calculation:
For the calculated volume, the calculation gives 22.51 A^3/atom. The calculation puts the energy relative to the elements at -0.3735 eV per atom.

Cell: 16.421 4.630 7.668 Å, 90.00 112.10 90.00°
Space group C2/m (No. 12)
Inequivalent atoms, fractional coordinates:
Pr: 0.117 0.000 0.197 (multiplicity 4)
Hg: 0.072 0.000 0.708 (multiplicity 4)
Hg: 0.126 0.500 0.529 (multiplicity 4)
Hg: 0.195 0.500 0.985 (multiplicity 4)
Pd: 0.011 0.500 0.836 (multiplicity 4)
Pd: 0.238 0.000 0.611 (multiplicity 4)

***

Pr2HgPd6: optimized geometry, GGA-PBE.

Values from the calculation:
For the calculated volume, the calculation gives 20.24 A^3/atom. The calculation puts the energy relative to the elements at -0.6059 eV per atom.

Cell: 5.8391 5.8391 6.1684 Å, 90.00 90.00 120.00°
Space group P-3m1 (No. 164)
Inequivalent atoms, fractional coordinates:
Pr: 0.3333 0.6667 0.1867 (multiplicity 2)
Hg: 0.0000 0.0000 0.0000 (multiplicity 1)
Pd: 0.1768 0.3537 0.6723 (multiplicity 6)

***

Pr3Hg3Pd2: optimized geometry, GGA-PBE.

Values from the calculation:
For the calculated volume, the calculation gives 25.73 A^3/atom. The calculation puts the energy relative to the elements at -0.5506 eV per atom.

Cell: 18.073 4.344 5.332 Å, 90.00 100.45 90.00°
Space group C2/m (No. 12)
Inequivalent atoms, fractional coordinates:
Pr: 0.000 0.000 0.000 (multiplicity 2)
Pr: 0.159 0.000 0.599 (multiplicity 4)
Hg: 0.000 0.500 0.500 (multiplicity 2)
Hg: 0.131 0.500 0.088 (multiplicity 4)
Pd: 0.234 0.000 0.152 (multiplicity 4)